Entry 1:
SCAN Ta2SeBr, single point on PBEsol structure; formation energy from raw total energies = 336 kJ/mol of formula units; uncorrected energy = -42.3054 eV/atom; spin magnetization = 0.00 μB/cell; energy above the most stable polymorph in this dataset = 12.79 kcal/mol of atoms
1.0
0.000 3.330 3.330
3.330 0.000 3.330
3.330 3.330 0.000
Ta Se Br
2 1 1
Direct
0.000 0.000 0.000
0.250 0.250 0.250
0.500 0.500 0.500
0.750 0.750 0.750

Entry 2:
SCAN Ta2SeBr, single point on PBEsol structure; formation energy from raw total energies = 122 kJ/mol of formula units; uncorrected energy = -42.8598 eV/atom; spin magnetization = 0.00 μB/cell; energy above the most stable polymorph in this dataset = 0.00 kcal/mol of atoms
1.0
-1.548 2.286 5.056
1.548 -2.286 5.056
1.548 2.286 -5.056
Ta Se Br
2 1 1
Direct
0.000 0.000 0.000
0.725 0.225 0.500
0.208 0.708 0.500
0.492 0.492 0.000

Entry 3:
SCAN TaSeBr4, single point on PBEsol structure; formation energy from raw total energies = 794 kJ/mol of formula units; uncorrected energy = -26.0456 eV/atom; spin magnetization = 2.25 μB/cell
1.0
0.000 4.091 4.091
4.091 0.000 4.091
4.091 4.091 0.000
Ta Se Br
1 1 4
Direct
0.000 0.000 0.000
0.250 0.250 0.250
0.124 0.625 0.625
0.625 0.124 0.625
0.625 0.625 0.124
0.625 0.625 0.625